A geometry-optimized KLa3Fe structure. Source: the Alexandria database, functional PBE-GGA.

Cell: 5.5957 5.5957 5.5957 Å, 90.00 90.00 90.00°
Atoms (fractional coordinates):
K  0.5000  0.5000  0.5000
Fe  0.0000  0.0000  0.0000
La  0.0000  0.5000  0.0000
La  0.0000  0.0000  0.5000
La  0.5000  0.0000  0.0000

Output
**Formation energy**: 5.05 kcal/mol of atoms